1 | Below is a relaxed structure of Al2TlAs, with properties calculated at the PBE level.

As for the calculated volume: 21.35 Å³/atom.

It has space group Fm-3m (No. 225), with a = 6.990 Å, b = 6.990 Å, c = 6.990 Å, α = 90.00°, β = 90.00° and γ = 90.00°. Symmetry generates all atoms from Al at (0.250, 0.250, 0.250), Tl at (0.000, 0.000, 0.000) and As at (0.000, 0.000, 0.500).



2 | Below is a relaxed structure of Al2TlAs, with properties calculated at the PBE level.

As for the calculated volume: 21.56 Å³/atom.

It has space group F-43m (No. 216), with a = 7.014 Å, b = 7.014 Å, c = 7.014 Å, α = 90.00°, β = 90.00° and γ = 90.00°. Symmetry generates all atoms from Al at (0.000, 0.000, 0.000), Al at (0.250, 0.250, 0.250), Tl at (0.250, 0.250, 0.750) and As at (0.000, 0.000, 0.500).



Result of the stability comparison: 2 is the least stable of them.



1 | Below is a relaxed structure of Al2TlAs, with properties calculated at the PBE level.

As for the calculated volume: 27.38 Å³/atom.

It has space group I-42d (No. 122), with a = 6.389 Å, b = 6.389 Å, c = 10.731 Å, α = 90.00°, β = 90.00° and γ = 90.00°. Symmetry generates all atoms from Al at (0.213, 0.250, 0.125), Tl at (0.000, 0.000, 0.500) and As at (0.000, 0.000, 0.000).



2 | Below is a relaxed structure of Al2TlAs, with properties calculated at the PBE level.

As for the calculated volume: 22.74 Å³/atom.

It has space group Imm2 (No. 44), with a = 3.650 Å, b = 3.668 Å, c = 13.587 Å, α = 90.00°, β = 90.00° and γ = 90.00°. Symmetry generates all atoms from Al at (0.000, 0.000, 0.000), Al at (0.000, 0.500, 0.181), Tl at (0.000, 0.500, 0.814) and As at (0.000, 0.000, 0.542).



3 | Below is a relaxed structure of Al2TlAs, with properties calculated at the PBE level.

As for the calculated volume: 21.51 Å³/atom.

It has space group P4/mmm (No. 123), with a = 3.436 Å, b = 3.436 Å, c = 7.287 Å, α = 90.00°, β = 90.00° and γ = 90.00°. Symmetry generates all atoms from Al at (0.000, 0.000, 0.194), Tl at (0.500, 0.500, 0.500) and As at (0.500, 0.500, 0.000).



4 | Below is a relaxed structure of Al2TlAs, with properties calculated at the PBE level.

As for the calculated volume: 22.61 Å³/atom.

It has space group Immm (No. 71), with a = 3.650 Å, b = 5.699 Å, c = 8.693 Å, α = 90.00°, β = 90.00° and γ = 90.00°. Symmetry generates all atoms from Al at (0.000, 0.000, 0.212), Tl at (0.000, 0.500, 0.000) and As at (0.000, 0.500, 0.500).



Result of the stability comparison: 4 is the least stable of them.